Record 1
A plane-wave DFT calculation with GGA-PBE was carried out for a relaxed structure of SbPb2Br.

Properties
- Calculated total energy: -40.67 eV for the cell shown
- E_form (uncorrected): -0.3 eV/f.u.
- Crystal system: trigonal
- Energy relative to the lowest polymorph listed for this composition: 268 meV per atom

a b c (Å): 3.6246 3.6246 32.6633
angles (deg): 90.00 90.00 120.00
Space group R3m (No. 160, hexagonal axes)
Symmetry-distinct sites (fractional):
Sb  0.0000  0.0000  0.0000
Pb  0.0000  0.0000  0.2579
Pb  0.0000  0.0000  0.4982
Br  0.0000  0.0000  0.7634

Record 2
A plane-wave DFT calculation with GGA-PBE was carried out for a relaxed structure of Sb2Pb2Br.

Properties
- Calculated total energy: -36.66 eV for the cell shown
- E_form (uncorrected): -1.0 eV/f.u.
- Crystal system: tetragonal
- Energy relative to the lowest polymorph listed for this composition: 0 meV per atom

a b c (Å): 4.5974 4.5974 15.9921
angles (deg): 90.00 90.00 90.00
Space group I4/mmm (No. 139)
Symmetry-distinct sites (fractional):
Sb  0.0000  0.5000  0.2500
Pb  0.0000  0.0000  0.1110
Br  0.0000  0.0000  0.5000

Record 3
A plane-wave DFT calculation with GGA-PBE was carried out for a relaxed structure of Sb2PbBr.

Properties
- Calculated total energy: -28.13 eV for the cell shown
- E_form (uncorrected): -0.4 eV/f.u.
- Crystal system: monoclinic
- Energy relative to the lowest polymorph listed for this composition: 54 meV per atom

a b c (Å): 13.1019 3.9480 5.0992
angles (deg): 90.00 100.73 90.00
Space group C2/m (No. 12)
Symmetry-distinct sites (fractional):
Sb  0.2240  0.0000  0.1778
Pb  0.0000  0.5000  0.0000
Br  0.0000  0.0000  0.5000

Record 4
A plane-wave DFT calculation with GGA-PBE was carried out for a relaxed structure of SbPb2Br.

Properties
- Calculated total energy: -26.90 eV for the cell shown
- E_form (uncorrected): -0.2 eV/f.u.
- Crystal system: tetragonal
- Energy relative to the lowest polymorph listed for this composition: 295 meV per atom

a b c (Å): 4.5753 4.5753 11.8617
angles (deg): 90.00 90.00 90.00
Space group I-4m2 (No. 119)
Symmetry-distinct sites (fractional):
Sb  0.0000  0.0000  0.0000
Pb  0.0000  0.0000  0.5000
Pb  0.0000  0.5000  0.2500
Br  0.0000  0.5000  0.7500

Record 5
A plane-wave DFT calculation with GGA-PBE was carried out for a relaxed structure of SbPbBr2.

Properties
- Calculated total energy: -23.16 eV for the cell shown
- E_form (uncorrected): -0.4 eV/f.u.
- Crystal system: orthorhombic
- Energy relative to the lowest polymorph listed for this composition: 212 meV per atom

a b c (Å): 3.6096 6.3666 10.9894
angles (deg): 90.00 90.00 90.00
Space group Cmm2 (No. 35)
Symmetry-distinct sites (fractional):
Sb  0.0000  0.0000  0.0000
Pb  0.0000  0.5000  0.2764
Br  0.0000  0.0000  0.4814
Br  0.0000  0.5000  0.7982

Record 6
A plane-wave DFT calculation with GGA-PBE was carried out for a relaxed structure of SbPb4Br.

Properties
- Calculated total energy: -78.93 eV for the cell shown
- E_form (uncorrected): 0.9 eV/f.u.
- Crystal system: cubic

a b c (Å): 9.2189 9.2189 9.2189
angles (deg): 90.00 90.00 90.00
Space group F-43m (No. 216)
Symmetry-distinct sites (fractional):
Sb  0.0000  0.0000  0.0000
Pb  0.1255  0.1255  0.3745
Br  0.2500  0.2500  0.7500

Record 7
A plane-wave DFT calculation with GGA-PBE was carried out for a relaxed structure of SbPb2Br.

Properties
- Calculated total energy: -41.70 eV for the cell shown
- E_form (uncorrected): -0.7 eV/f.u.
- Crystal system: trigonal
- Energy relative to the lowest polymorph listed for this composition: 182 meV per atom

a b c (Å): 3.6523 3.6523 31.1382
angles (deg): 90.00 90.00 120.00
Space group R-3m (No. 166, hexagonal axes)
Symmetry-distinct sites (fractional):
Sb  0.0000  0.0000  0.0000
Pb  0.0000  0.0000  0.2474
Br  0.0000  0.0000  0.5000

Record 8
A plane-wave DFT calculation with GGA-PBE was carried out for a relaxed structure of SbPbBr2.

Properties
- Calculated total energy: -11.46 eV for the cell shown
- E_form (uncorrected): -0.3 eV/f.u.
- Crystal system: tetragonal
- Energy relative to the lowest polymorph listed for this composition: 241 meV per atom

a b c (Å): 4.9496 4.9496 4.6650
angles (deg): 90.00 90.00 90.00
Space group P4/mmm (No. 123)
Symmetry-distinct sites (fractional):
Sb  0.0000  0.0000  0.0000
Pb  0.5000  0.5000  0.0000
Br  0.0000  0.5000  0.5000

Record 9
A plane-wave DFT calculation with GGA-PBE was carried out for a relaxed structure of SbPb3Br3.

Properties
- Calculated total energy: -48.82 eV for the cell shown
- E_form (uncorrected): -4.1 eV/f.u.
- Crystal system: monoclinic

a b c (Å): 9.1494 4.5698 12.8279
angles (deg): 90.00 94.23 90.00
Space group P2_1/m (No. 11)
Symmetry-distinct sites (fractional):
Sb  0.1383  0.2500  0.1315
Pb  0.0987  0.2500  0.8846
Pb  0.1563  0.2500  0.3777
Pb  0.3744  0.7500  0.1333
Br  0.0743  0.2500  0.6290
Br  0.3616  0.7500  0.8903
Br  0.3831  0.7500  0.3740

Record 10
A plane-wave DFT calculation with GGA-PBE was carried out for a relaxed structure of SbPbBr.

Properties
- Calculated total energy: -9.78 eV for the cell shown
- E_form (uncorrected): -0.3 eV/f.u.
- Crystal system: trigonal
- Energy relative to the lowest polymorph listed for this composition: 31 meV per atom

a b c (Å): 3.7211 3.7211 8.0097
angles (deg): 90.00 90.00 120.00
Space group P3m1 (No. 156)
Symmetry-distinct sites (fractional):
Sb  0.0000  0.0000  0.0000
Pb  0.6667  0.3333  0.6720
Br  0.3333  0.6667  0.4020

Record 11
A plane-wave DFT calculation with GGA-PBE was carried out for a relaxed structure of SbPbBr2.

Properties
- Calculated total energy: -12.35 eV for the cell shown
- E_form (uncorrected): -1.2 eV/f.u.
- Crystal system: monoclinic
- Energy relative to the lowest polymorph listed for this composition: 19 meV per atom

a b c (Å): 3.7739 6.4548 5.1705
angles (deg): 90.00 92.51 90.00
Space group Pm (No. 6)
Symmetry-distinct sites (fractional):
Sb  0.0000  0.0000  0.0000
Pb  0.7732  0.5000  0.0148
Br  0.2354  0.5000  0.5447
Br  0.7229  0.0000  0.4957

Record 12
A plane-wave DFT calculation with GGA-PBE was carried out for a relaxed structure of SbPb2Br.

Properties
- Calculated total energy: -43.88 eV for the cell shown
- E_form (uncorrected): -1.4 eV/f.u.
- Crystal system: trigonal
- Energy relative to the lowest polymorph listed for this composition: 0 meV per atom

a b c (Å): 4.6062 4.6062 22.4557
angles (deg): 90.00 90.00 120.00
Space group R-3m (No. 166, hexagonal axes)
Symmetry-distinct sites (fractional):
Sb  0.0000  0.0000  0.0000
Pb  0.0000  0.0000  0.2583
Br  0.0000  0.0000  0.5000